Compound: BaCrCu
Source: Alexandria
Functional: PBE
Structure: relaxed

Offset from the most stable computed form   190 meV/atom
Calculated formation energy   2.050 eV/f.u.
Magnetic moment   4.800 μB per formula unit
D(E_F)   1.4 states/eV/f.u.

The structure in CIF format:
```
data_BaCrCu
_symmetry_space_group_name_H-M 'F -4 3 m'
_symmetry_Int_Tables_number 216
_symmetry_space_group_name_Hall 'F -4 2 3'
_cell_length_a 7.143
_cell_length_b 7.143
_cell_length_c 7.143
_cell_angle_alpha 90.00
_cell_angle_beta 90.00
_cell_angle_gamma 90.00
loop_
_atom_site_label
_atom_site_fract_x
_atom_site_fract_y
_atom_site_fract_z
_atom_site_occupancy
Ba1 0.000 0.000 0.000 1
Cr1 0.000 0.000 0.500 1
Cu1 0.250 0.250 0.750 1
```